Crystalline YSnW at its relaxed geometry. Source: the Open Quantum Materials Database, functional PBE.

```
data_YSnW
_cell_length_a 6.946
_cell_length_b 6.946
_cell_length_c 6.946
_cell_angle_alpha 90.00
_cell_angle_beta 90.00
_cell_angle_gamma 90.00
_space_group_name_H-M_alt 'F -4 3 m'
_space_group_IT_number 216
_space_group_name_Hall 'F -4 2 3'
loop_
_atom_site_label
_atom_site_fract_x
_atom_site_fract_y
_atom_site_fract_z
_atom_site_occupancy
Y1 0.000 0.000 0.000 1
Sn1 0.250 0.250 0.750 1
W1 0.250 0.250 0.250 1
```

E_tot = -6.5781 eV/atom
E above lowest polymorph = 616.6 meV per atom


Crystalline YSnW at its relaxed geometry. Source: the Open Quantum Materials Database, functional PBE.

```
data_YSnW
_cell_length_a 6.701
_cell_length_b 6.701
_cell_length_c 6.701
_cell_angle_alpha 90.00
_cell_angle_beta 90.00
_cell_angle_gamma 90.00
_space_group_name_H-M_alt 'F -4 3 m'
_space_group_IT_number 216
_space_group_name_Hall 'F -4 2 3'
loop_
_atom_site_label
_atom_site_fract_x
_atom_site_fract_y
_atom_site_fract_z
_atom_site_occupancy
Y1 0.000 0.000 0.000 1
Sn1 0.250 0.250 0.750 1
W1 0.000 0.000 0.500 1
```

E_tot = -7.1947 eV/atom
E above lowest polymorph = 0.0 meV per atom


Crystalline ZnSn2W at its relaxed geometry. Source: the Open Quantum Materials Database, functional PBE.

```
data_ZnSn2W
_cell_length_a 6.859
_cell_length_b 6.859
_cell_length_c 6.859
_cell_angle_alpha 90.00
_cell_angle_beta 90.00
_cell_angle_gamma 90.00
_space_group_name_H-M_alt 'F -4 3 m'
_space_group_IT_number 216
_space_group_name_Hall 'F -4 2 3'
loop_
_atom_site_label
_atom_site_fract_x
_atom_site_fract_y
_atom_site_fract_z
_atom_site_occupancy
Zn1 0.000 0.000 0.000 1
Sn1 0.000 0.000 0.500 1
Sn2 0.250 0.250 0.250 1
W1 0.250 0.250 0.750 1
```

E_tot = -4.6763 eV/atom


Crystalline ZnSnW2 at its relaxed geometry. Source: the Open Quantum Materials Database, functional PBE.

```
data_ZnSnW2
_cell_length_a 6.463
_cell_length_b 6.463
_cell_length_c 6.463
_cell_angle_alpha 90.00
_cell_angle_beta 90.00
_cell_angle_gamma 90.00
_space_group_name_H-M_alt 'F -4 3 m'
_space_group_IT_number 216
_space_group_name_Hall 'F -4 2 3'
loop_
_atom_site_label
_atom_site_fract_x
_atom_site_fract_y
_atom_site_fract_z
_atom_site_occupancy
Zn1 0.000 0.000 0.000 1
Sn1 0.250 0.250 0.750 1
W1 0.000 0.000 0.500 1
W2 0.250 0.250 0.250 1
```

E_tot = -7.2513 eV/atom


Crystalline ZrSnW at its relaxed geometry. Source: the Open Quantum Materials Database, functional PBE.

```
data_ZrSnW
_cell_length_a 6.562
_cell_length_b 6.562
_cell_length_c 6.562
_cell_angle_alpha 90.00
_cell_angle_beta 90.00
_cell_angle_gamma 90.00
_space_group_name_H-M_alt 'F -4 3 m'
_space_group_IT_number 216
_space_group_name_Hall 'F -4 2 3'
loop_
_atom_site_label
_atom_site_fract_x
_atom_site_fract_y
_atom_site_fract_z
_atom_site_occupancy
Zr1 0.000 0.000 0.000 1
Sn1 0.000 0.000 0.500 1
W1 0.250 0.250 0.750 1
```

E_tot = -7.8753 eV/atom
E above lowest polymorph = 0.0 meV per atom


Crystalline Zr3Sn2W at its relaxed geometry. Source: the Open Quantum Materials Database, functional PBE.

```
data_Zr3Sn2W
_cell_length_a 3.3918
_cell_length_b 3.3918
_cell_length_c 12.9815
_cell_angle_alpha 90.00
_cell_angle_beta 90.00
_cell_angle_gamma 120.00
_space_group_name_H-M_alt 'P -3 m 1'
_space_group_IT_number 164
_space_group_name_Hall '-P 3 2"'
loop_
_atom_site_label
_atom_site_fract_x
_atom_site_fract_y
_atom_site_fract_z
_atom_site_occupancy
Zr1 0.0000 0.0000 0.0000 1
Zr2 0.3333 0.6667 0.3489 1
Sn1 0.3333 0.6667 0.8280 1
W1 0.0000 0.0000 0.5000 1
```

E_tot = -7.7823 eV/atom


Crystalline ZrSn2W at its relaxed geometry. Source: the Open Quantum Materials Database, functional PBE.

```
data_ZrSn2W
_cell_length_a 6.947
_cell_length_b 6.947
_cell_length_c 6.947
_cell_angle_alpha 90.00
_cell_angle_beta 90.00
_cell_angle_gamma 90.00
_space_group_name_H-M_alt 'F -4 3 m'
_space_group_IT_number 216
_space_group_name_Hall 'F -4 2 3'
loop_
_atom_site_label
_atom_site_fract_x
_atom_site_fract_y
_atom_site_fract_z
_atom_site_occupancy
Zr1 0.000 0.000 0.000 1
Sn1 0.000 0.000 0.500 1
Sn2 0.250 0.250 0.250 1
W1 0.250 0.250 0.750 1
```

E_tot = -6.9440 eV/atom


Crystalline ZrSnW2 at its relaxed geometry. Source: the Open Quantum Materials Database, functional PBE.

```
data_ZrSnW2
_cell_length_a 6.670
_cell_length_b 6.670
_cell_length_c 6.670
_cell_angle_alpha 90.00
_cell_angle_beta 90.00
_cell_angle_gamma 90.00
_space_group_name_H-M_alt 'F -4 3 m'
_space_group_IT_number 216
_space_group_name_Hall 'F -4 2 3'
loop_
_atom_site_label
_atom_site_fract_x
_atom_site_fract_y
_atom_site_fract_z
_atom_site_occupancy
Zr1 0.000 0.000 0.000 1
Sn1 0.250 0.250 0.750 1
W1 0.000 0.000 0.500 1
W2 0.250 0.250 0.250 1
```

E_tot = -9.3230 eV/atom


Crystalline Y2Zn2Sn3 at its relaxed geometry. Source: the Open Quantum Materials Database, functional PBE.

```
data_Y2Zn2Sn3
_cell_length_a 4.6625
_cell_length_b 4.6625
_cell_length_c 28.2917
_cell_angle_alpha 90.00
_cell_angle_beta 90.00
_cell_angle_gamma 120.00
_space_group_name_H-M_alt 'R 3 m'
_space_group_IT_number 160
_space_group_name_Hall 'R 3 -2"'
loop_
_atom_site_label
_atom_site_fract_x
_atom_site_fract_y
_atom_site_fract_z
_atom_site_occupancy
Y1 0.0000 0.0000 0.0000 1
Y2 0.0000 0.0000 0.4842 1
Zn1 0.0000 0.0000 0.1922 1
Zn2 0.0000 0.0000 0.7511 1
Sn1 0.0000 0.0000 0.3796 1
Sn2 0.0000 0.0000 0.6035 1
Sn3 0.0000 0.0000 0.8856 1
```

E_tot = -4.1604 eV/atom


Crystalline Y2ZnSn at its relaxed geometry. Source: the Open Quantum Materials Database, functional PBE.

```
data_Y2ZnSn
_cell_length_a 7.409
_cell_length_b 7.409
_cell_length_c 7.409
_cell_angle_alpha 90.00
_cell_angle_beta 90.00
_cell_angle_gamma 90.00
_space_group_name_H-M_alt 'F -4 3 m'
_space_group_IT_number 216
_space_group_name_Hall 'F -4 2 3'
loop_
_atom_site_label
_atom_site_fract_x
_atom_site_fract_y
_atom_site_fract_z
_atom_site_occupancy
Y1 0.000 0.000 0.000 1
Y2 0.250 0.250 0.250 1
Zn1 0.250 0.250 0.750 1
Sn1 0.000 0.000 0.500 1
```

E_tot = -4.5172 eV/atom


Crystalline YZn2Sn2 at its relaxed geometry. Source: the Open Quantum Materials Database, functional PBE.

```
data_YZn2Sn2
_cell_length_a 4.173
_cell_length_b 4.173
_cell_length_c 13.246
_cell_angle_alpha 90.00
_cell_angle_beta 90.00
_cell_angle_gamma 90.00
_space_group_name_H-M_alt 'I 4/m m m'
_space_group_IT_number 139
_space_group_name_Hall '-I 4 2'
loop_
_atom_site_label
_atom_site_fract_x
_atom_site_fract_y
_atom_site_fract_z
_atom_site_occupancy
Y1 0.000 0.000 0.000 1
Zn1 0.000 0.500 0.250 1
Sn1 0.000 0.000 0.387 1
```

E_tot = -3.5966 eV/atom


Crystalline YZnSn2 at its relaxed geometry. Source: the Open Quantum Materials Database, functional PBE.

```
data_YZnSn2
_cell_length_a 4.358
_cell_length_b 4.358
_cell_length_c 9.878
_cell_angle_alpha 90.00
_cell_angle_beta 90.00
_cell_angle_gamma 90.00
_space_group_name_H-M_alt 'P 4/n m m'
_space_group_IT_number 129
loop_
_space_group_symop_operation_xyz
'x,y,z'
'-x,-y,-z'
'-y+1/2,x,z'
'y+1/2,-x,-z'
'-x+1/2,-y+1/2,z'
'x+1/2,y+1/2,-z'
'y,-x+1/2,z'
'-y,x+1/2,-z'
'x+1/2,-y,-z'
'-x+1/2,y,z'
'-y,-x,-z'
'y,x,z'
'-x,y+1/2,-z'
'x,-y+1/2,z'
'y+1/2,x+1/2,-z'
'-y+1/2,-x+1/2,z'
loop_
_atom_site_label
_atom_site_fract_x
_atom_site_fract_y
_atom_site_fract_z
_atom_site_occupancy
Y1 0.250 0.250 0.250 1
Zn1 0.250 0.750 0.000 1
Sn1 0.250 0.250 0.816 1
Sn2 0.250 0.750 0.500 1
```

E_tot = -4.3980 eV/atom